1.
DFT (PBE) results for a relaxed structure of Mg4Pd2RhAu.

Values from the calculation:
Mass density ... 7.79 g/cm³
Total magnetic moment ... 0.00 μB per formula unit
ΔH_f (0 K) ... -0.643 eV per atom
Crystal system ... trigonal

Lattice parameters (Å, degrees): 7.8254 7.8254 7.8254 33.51 33.51 33.51
Element x y z (fractional)
Mg: 0.1217 0.1217 0.1217
Mg: 0.3723 0.3723 0.3723
Mg: 0.6277 0.6277 0.6277
Mg: 0.8783 0.8783 0.8783
Pd: 0.2499 0.2499 0.2499
Pd: 0.7501 0.7501 0.7501
Rh: 0.0000 0.0000 0.0000
Au: 0.5000 0.5000 0.5000


2.
DFT (PBE) results for a relaxed structure of AsH2Br2.

Values from the calculation:
Mass density ... 2.50 g/cm³
Polymorph energy (0 for the lowest one) ... 1.271 eV per formula unit
Total magnetic moment ... 2.08 μB per formula unit
Crystal system ... tetragonal

Lattice parameters (Å, degrees): 9.9338 9.9338 3.1814 90.00 90.00 90.00
Element x y z (fractional)
As: 0.0000 0.0000 0.0000
As: 0.5000 0.5000 0.0000
H: 0.1124 0.3876 0.0000
H: 0.3876 0.8876 0.0000
H: 0.6124 0.1124 0.0000
H: 0.8876 0.6124 0.0000
Br: 0.1550 0.3450 0.5000
Br: 0.3450 0.8450 0.5000
Br: 0.6550 0.1550 0.5000
Br: 0.8450 0.6550 0.5000


3.
DFT (PBE) results for a relaxed structure of CoNi2Cl.

Values from the calculation:
Mass density ... 6.05 g/cm³
Formation energy (no corrections) ... 1.578 eV per formula unit
Polymorph energy (0 for the lowest one) ... 0.716 eV per formula unit
Total magnetic moment ... 3.47 μB per formula unit
Crystal system ... orthorhombic

Lattice parameters (Å, degrees): 2.7514 3.7020 11.4187 90.00 90.00 90.00
Element x y z (fractional)
Co: 0.0000 0.0000 0.0000
Co: 0.5000 0.5000 0.5000
Ni: 0.0000 0.0000 0.5655
Ni: 0.0000 0.5000 0.6882
Ni: 0.5000 0.0000 0.1882
Ni: 0.5000 0.5000 0.0655
Cl: 0.0000 0.5000 0.3306
Cl: 0.5000 0.0000 0.8306


4.
DFT (PBE) results for a relaxed structure of Sr2LiAs.

Values from the calculation:
Mass density ... 3.54 g/cm³
Total magnetic moment ... 0.67 μB per formula unit
ΔH_f (0 K) ... -0.360 eV per atom
Crystal system ... tetragonal

Lattice parameters (Å, degrees): 4.6259 4.6259 11.2642 90.00 90.00 90.00
Element x y z (fractional)
Sr: 0.0000 0.0000 0.0000
Sr: 0.0000 0.5000 0.2500
Sr: 0.5000 0.0000 0.7500
Sr: 0.5000 0.5000 0.5000
Li: 0.0000 0.0000 0.5000
Li: 0.5000 0.5000 0.0000
As: 0.0000 0.5000 0.7500
As: 0.5000 0.0000 0.2500


5.
DFT (PBE) results for a relaxed structure of La2ZnIn4Au3.

Values from the calculation:
Mass density ... 9.47 g/cm³
Total magnetic moment ... 0.00 μB per formula unit
ΔH_f (0 K) ... -0.526 eV per atom
Crystal system ... tetragonal

Lattice parameters (Å, degrees): 4.5845 4.5845 11.6215 90.00 90.00 90.00
Element x y z (fractional)
La: 0.0000 0.5000 0.2418
La: 0.5000 0.0000 0.7582
Zn: 0.5000 0.5000 0.0000
In: 0.0000 0.0000 0.5000
In: 0.0000 0.5000 0.8701
In: 0.5000 0.0000 0.1299
In: 0.5000 0.5000 0.5000
Au: 0.0000 0.0000 0.0000
Au: 0.0000 0.5000 0.6399
Au: 0.5000 0.0000 0.3601


6.
DFT (PBE) results for a relaxed structure of BeSbAs4.

Values from the calculation:
Mass density ... 5.71 g/cm³
Formation energy (no corrections) ... 4.405 eV per formula unit
Total magnetic moment ... 0.00 μB per formula unit
Crystal system ... cubic

Lattice parameters (Å, degrees): 5.6161 5.6161 5.6161 60.00 60.00 60.00
Element x y z (fractional)
Be: 0.0000 0.0000 0.0000
Sb: 0.7500 0.7500 0.7500
As: 0.3711 0.3711 0.3711
As: 0.3711 0.3711 0.8867
As: 0.3711 0.8867 0.3711
As: 0.8867 0.3711 0.3711